Entry 1:
Below is a relaxed Pr2SmTm crystal, with properties calculated at the PBE level.

The structure in POSCAR format:
```
Pr2SmTm
1.0
5.781 0.000 0.000
2.891 5.007 0.000
2.891 1.669 4.720
Pr Tm Sm
2 1 1
Direct
0.750 0.750 0.750
0.250 0.250 0.250
0.000 0.000 0.000
0.500 0.500 0.500
```

Computed properties:
ΔH_f (0 K)	0.5	eV/f.u.

=====

Entry 2:
Below is a relaxed SrZnIn2 crystal, with properties calculated at the PBE level.

The structure in POSCAR format:
```
SrZnIn2
1.0
4.610 0.000 0.000
0.000 3.865 0.016
0.000 1.801 6.300
In Sr Zn
2 1 1
Direct
0.500 0.219 0.189
0.000 0.814 0.007
0.000 0.536 0.540
0.500 0.931 0.763
```

Computed properties:
ΔH_f (0 K)	-0.7	eV/f.u.

=====

Entry 3:
Below is a relaxed ScRePb crystal, with properties calculated at the PBE level.

The structure in POSCAR format:
```
ScRePb
1.0
-2.279 4.264 -0.428
-1.713 -3.910 -2.310
-1.667 -0.656 2.346
Re Sc Pb
1 1 1
Direct
0.667 0.333 0.167
0.333 0.667 0.667
0.000 0.000 0.166
```

Computed properties:
ΔH_f (0 K)	1.0	eV/f.u.

=====

Per-record energy, eV/atom: -4.57, -2.30, -7.15
Per-record DOS at the Fermi energy, states/eV/atom: 1.9779, 0.4533, 0.8598